No. 1
The following is a PBE calculation of RbLiHgS2 after structural relaxation, from Alexandria via LeMat-Bulk.

## Properties
Uncorrected formation energy in meV/atom: -846
DFT total energy in eV/atom: -3.13

Cell: 7.0175 7.0175 9.4862 Å, 99.06 99.06 35.59°
Element x y z (fractional)
Rb (0.1608, 0.1608, 0.1674)
Rb (0.8392, 0.8392, 0.8326)
Li (0.1754, 0.1754, 0.5606)
Li (0.8246, 0.8246, 0.4394)
Hg (0.4540, 0.4540, 0.3070)
Hg (0.5460, 0.5460, 0.6930)
S (0.1290, 0.1290, 0.8096)
S (0.3640, 0.3640, 0.5647)
S (0.6360, 0.6360, 0.4353)
S (0.8710, 0.8710, 0.1904)

---

No. 2
The following is a PBE calculation of Rb2LiHgS after structural relaxation, from Alexandria via LeMat-Bulk.

## Properties
Uncorrected formation energy in meV/atom: -649
DFT total energy in eV/atom: -2.31
Density of states at the Fermi level in states/eV/atom: 0.545

Cell: 6.6359 6.6359 4.5339 Å, 90.00 90.00 90.00°
Element x y z (fractional)
Rb (0.0000, 0.5000, 0.0000)
Rb (0.5000, 0.0000, 0.0000)
Li (0.0000, 0.0000, 0.5000)
Hg (0.5000, 0.5000, 0.5000)
S (0.0000, 0.0000, 0.0000)

---

No. 3
The following is a PBE calculation of Rb2LiHgSb2 after structural relaxation, from Alexandria via LeMat-Bulk.

## Properties
Uncorrected formation energy in meV/atom: -364
DFT total energy in eV/atom: -2.43
Density of states at the Fermi level in states/eV/atom: 0.765

Cell: 9.7603 9.7603 9.7603 Å, 138.19 61.51 137.02°
Element x y z (fractional)
Rb (0.1682, 0.2474, 0.4156)
Rb (0.3318, 0.7474, 0.0793)
Rb (0.6682, 0.2526, 0.9207)
Rb (0.8318, 0.7526, 0.5844)
Li (0.2500, 0.7500, 0.5000)
Li (0.7500, 0.2500, 0.5000)
Hg (0.2500, 0.2500, 0.0000)
Hg (0.7500, 0.7500, 0.0000)
Sb (0.0943, 0.7485, 0.8428)
Sb (0.4057, 0.2485, 0.6542)
Sb (0.5943, 0.7515, 0.3458)
Sb (0.9057, 0.2515, 0.1572)

---

No. 4
The following is a PBE calculation of RbLi2Hg2Sb2 after structural relaxation, from Alexandria via LeMat-Bulk.

## Properties
Uncorrected formation energy in meV/atom: -386
DFT total energy in eV/atom: -2.34
Density of states at the Fermi level in states/eV/atom: 0.287

Cell: 10.2343 10.2343 10.2343 Å, 27.22 27.22 27.22°
Element x y z (fractional)
Rb (0.0000, 0.0000, 0.0000)
Li (0.1439, 0.1439, 0.1439)
Li (0.8561, 0.8561, 0.8561)
Hg (0.4496, 0.4496, 0.4496)
Hg (0.5504, 0.5504, 0.5504)
Sb (0.2459, 0.2459, 0.2459)
Sb (0.7541, 0.7541, 0.7541)

---

No. 5
The following is a PBE calculation of RbLiHg2Se after structural relaxation, from Alexandria via LeMat-Bulk.

## Properties
Uncorrected formation energy in meV/atom: -531
DFT total energy in eV/atom: -1.93
Density of states at the Fermi level in states/eV/atom: 0.115

Cell: 5.4862 5.4862 5.0398 Å, 90.00 90.00 90.00°
Element x y z (fractional)
Rb (0.0000, 0.0000, 0.0000)
Li (0.5000, 0.5000, 0.5000)
Hg (0.0000, 0.5000, 0.5000)
Hg (0.5000, 0.0000, 0.5000)
Se (0.5000, 0.5000, 0.0000)

---

No. 6
The following is a PBE calculation of RbLi2SiHg after structural relaxation, from Alexandria via LeMat-Bulk.

## Properties
Uncorrected formation energy in meV/atom: 521
DFT total energy in eV/atom: -1.58
Density of states at the Fermi level in states/eV/atom: 0.426

Cell: 5.2219 5.2219 6.3438 Å, 90.00 90.00 90.00°
Element x y z (fractional)
Rb (0.0000, 0.0000, 0.0000)
Li (0.0000, 0.5000, 0.5000)
Li (0.5000, 0.0000, 0.5000)
Si (0.5000, 0.5000, 0.0000)
Hg (0.0000, 0.0000, 0.5000)

---

No. 7
The following is a PBE calculation of RbLiSnHg2 after structural relaxation, from Alexandria via LeMat-Bulk.

## Properties
DFT total energy in eV/atom: -1.61
Density of states at the Fermi level in states/eV/atom: 0.862
Formation energy in eV per atom: -0.11

Cell: 5.8947 5.8947 5.3627 Å, 90.00 90.00 90.00°
Element x y z (fractional)
Rb (0.0000, 0.0000, 0.0000)
Li (0.5000, 0.5000, 0.0000)
Sn (0.5000, 0.5000, 0.5000)
Hg (0.0000, 0.5000, 0.5000)
Hg (0.5000, 0.0000, 0.5000)

---

No. 8
The following is a PBE calculation of RbLi2SnHg after structural relaxation, from Alexandria via LeMat-Bulk.

## Properties
DFT total energy in eV/atom: -1.98
Density of states at the Fermi level in states/eV/atom: 0.245
Formation energy in eV per atom: -0.16

Cell: 5.4470 5.4470 5.6418 Å, 90.00 90.00 90.00°
Element x y z (fractional)
Rb (0.0000, 0.0000, 0.0000)
Li (0.0000, 0.5000, 0.5000)
Li (0.5000, 0.0000, 0.5000)
Sn (0.5000, 0.5000, 0.5000)
Hg (0.5000, 0.5000, 0.0000)

---

No. 9
The following is a PBE calculation of RbLiSnHg2 after structural relaxation, from Alexandria via LeMat-Bulk.

## Properties
DFT total energy in eV/atom: -1.59
Density of states at the Fermi level in states/eV/atom: 0.316
Formation energy in eV per atom: -0.09

Cell: 5.3861 5.3861 5.2066 Å, 90.00 90.00 90.00°
Element x y z (fractional)
Rb (0.0000, 0.0000, 0.0000)
Li (0.5000, 0.5000, 0.5000)
Sn (0.5000, 0.5000, 0.0000)
Hg (0.0000, 0.5000, 0.5000)
Hg (0.5000, 0.0000, 0.5000)

---

No. 10
The following is a PBE calculation of RbLiTaHg2 after structural relaxation, from Alexandria via LeMat-Bulk.

## Properties
DFT total energy in eV/atom: -1.45
Density of states at the Fermi level in states/eV/atom: 1.170
Formation energy in eV per atom: 1.62

Cell: 6.3023 6.3023 6.4329 Å, 90.00 90.00 90.00°
Element x y z (fractional)
Rb (0.0000, 0.0000, 0.0000)
Li (0.5000, 0.5000, 0.5000)
Ta (0.0000, 0.0000, 0.5000)
Hg (0.0000, 0.5000, 0.0000)
Hg (0.5000, 0.0000, 0.0000)

---

No. 11
The following is a PBE calculation of RbLiHgTe2 after structural relaxation, from Alexandria via LeMat-Bulk.

## Properties
Uncorrected formation energy in meV/atom: -717
DFT total energy in eV/atom: -2.61

Cell: 8.5094 8.5094 6.9167 Å, 90.00 90.00 134.31°
Element x y z (fractional)
Rb (0.2500, 0.7500, 0.7847)
Rb (0.7500, 0.2500, 0.2153)
Li (0.2500, 0.2500, 0.5000)
Li (0.7500, 0.7500, 0.5000)
Hg (0.0000, 0.0000, 0.0000)
Hg (0.5000, 0.5000, 0.0000)
Te (0.1160, 0.8840, 0.2817)
Te (0.3840, 0.6160, 0.2817)
Te (0.6160, 0.3840, 0.7183)
Te (0.8840, 0.1160, 0.7183)

---

No. 12
The following is a PBE calculation of RbLiHgTe after structural relaxation, from Alexandria via LeMat-Bulk.

## Properties
Uncorrected formation energy in meV/atom: -754
DFT total energy in eV/atom: -2.34
Density of states at the Fermi level in states/eV/atom: 0.252

Cell: 4.8789 4.8789 11.5783 Å, 90.00 90.00 90.00°
Element x y z (fractional)
Rb (0.2500, 0.2500, 0.2347)
Rb (0.7500, 0.7500, 0.7653)
Li (0.2500, 0.7500, 0.0000)
Li (0.7500, 0.2500, 0.0000)
Hg (0.2500, 0.7500, 0.5000)
Hg (0.7500, 0.2500, 0.5000)
Te (0.2500, 0.2500, 0.8681)
Te (0.7500, 0.7500, 0.1319)

---

No. 13
The following is a PBE calculation of RbLiHg2Te after structural relaxation, from Alexandria via LeMat-Bulk.

## Properties
Uncorrected formation energy in meV/atom: -504
DFT total energy in eV/atom: -1.83
Density of states at the Fermi level in states/eV/atom: 0.116

Cell: 5.5338 5.5338 5.4460 Å, 90.00 90.00 90.00°
Element x y z (fractional)
Rb (0.0000, 0.0000, 0.0000)
Li (0.5000, 0.5000, 0.5000)
Hg (0.0000, 0.5000, 0.5000)
Hg (0.5000, 0.0000, 0.5000)
Te (0.5000, 0.5000, 0.0000)

---

No. 14
The following is a PBE calculation of RbLiTl2Hg after structural relaxation, from Alexandria via LeMat-Bulk.

## Properties
DFT total energy in eV/atom: -1.65
Density of states at the Fermi level in states/eV/atom: 0.431
Formation energy in eV per atom: -0.07

Cell: 5.4040 5.4040 5.4109 Å, 90.00 90.00 90.00°
Element x y z (fractional)
Rb (0.0000, 0.0000, 0.0000)
Li (0.5000, 0.5000, 0.5000)
Tl (0.0000, 0.5000, 0.5000)
Tl (0.5000, 0.0000, 0.5000)
Hg (0.5000, 0.5000, 0.0000)

---

No. 15
The following is a PBE calculation of RbLiTl2Hg after structural relaxation, from Alexandria via LeMat-Bulk.

## Properties
DFT total energy in eV/atom: -1.54
Density of states at the Fermi level in states/eV/atom: 0.779
Formation energy in eV per atom: 0.04

Cell: 5.8510 5.8510 5.4962 Å, 90.00 90.00 90.00°
Element x y z (fractional)
Rb (0.0000, 0.0000, 0.0000)
Li (0.5000, 0.5000, 0.0000)
Tl (0.0000, 0.5000, 0.5000)
Tl (0.5000, 0.0000, 0.5000)
Hg (0.5000, 0.5000, 0.5000)

---

No. 16
The following is a PBE calculation of RbLiTlHg2 after structural relaxation, from Alexandria via LeMat-Bulk.

## Properties
DFT total energy in eV/atom: -1.23
Density of states at the Fermi level in states/eV/atom: 0.318
Formation energy in eV per atom: -0.06

Cell: 5.8460 5.8460 5.5381 Å, 90.00 90.00 90.00°
Element x y z (fractional)
Rb (0.0000, 0.0000, 0.0000)
Li (0.5000, 0.5000, 0.0000)
Tl (0.5000, 0.5000, 0.5000)
Hg (0.0000, 0.5000, 0.5000)
Hg (0.5000, 0.0000, 0.5000)

---

No. 17
The following is a PBE calculation of RbLiTlHg2 after structural relaxation, from Alexandria via LeMat-Bulk.

## Properties
DFT total energy in eV/atom: -1.30
Density of states at the Fermi level in states/eV/atom: 0.617
Formation energy in eV per atom: -0.13

Cell: 5.4000 5.4000 5.3759 Å, 90.00 90.00 90.00°
Element x y z (fractional)
Rb (0.0000, 0.0000, 0.0000)
Li (0.5000, 0.5000, 0.5000)
Tl (0.5000, 0.5000, 0.0000)
Hg (0.0000, 0.5000, 0.5000)
Hg (0.5000, 0.0000, 0.5000)

---

No. 18
The following is a PBE calculation of Rb2LiTlHg6 after structural relaxation, from Alexandria via LeMat-Bulk.

## Properties
DFT total energy in eV/atom: -0.95
Density of states at the Fermi level in states/eV/atom: 0.564
Formation energy in eV per atom: -0.15

Cell: 7.9675 7.9583 7.9498 Å, 60.11 60.00 59.89°
Element x y z (fractional)
Rb (0.2500, 0.2500, 0.2500)
Rb (0.7500, 0.7500, 0.7500)
Li (0.0000, 0.0000, 0.0000)
Tl (0.5000, 0.5000, 0.5000)
Hg (0.2314, 0.2314, 0.7686)
Hg (0.2317, 0.7683, 0.2317)
Hg (0.2317, 0.7683, 0.7683)
Hg (0.7683, 0.2317, 0.2317)
Hg (0.7683, 0.2317, 0.7683)
Hg (0.7686, 0.7686, 0.2314)

---

No. 19
The following is a PBE calculation of RbLiZnHg2 after structural relaxation, from Alexandria via LeMat-Bulk.

## Properties
DFT total energy in eV/atom: -1.01
Density of states at the Fermi level in states/eV/atom: 0.444
Formation energy in eV per atom: -0.06

Cell: 5.4848 5.4848 5.2082 Å, 90.00 90.00 90.00°
Element x y z (fractional)
Rb (0.0000, 0.0000, 0.0000)
Li (0.5000, 0.5000, 0.0000)
Zn (0.5000, 0.5000, 0.5000)
Hg (0.0000, 0.5000, 0.5000)
Hg (0.5000, 0.0000, 0.5000)

---

No. 20
The following is a PBE calculation of Li2ReHg after structural relaxation, from Alexandria via LeMat-Bulk.

## Properties
DFT total energy in eV/atom: -3.95
Density of states at the Fermi level in states/eV/atom: 0.443
Formation energy in eV per atom: 0.20

Cell: 2.6761 2.6761 9.0190 Å, 90.00 90.00 90.00°
Element x y z (fractional)
Li (0.0000, 0.0000, 0.2356)
Li (0.0000, 0.0000, 0.7644)
Re (0.5000, 0.5000, 0.0000)
Hg (0.5000, 0.5000, 0.5000)

---

No. 21
The following is a PBE calculation of Li2ReHg after structural relaxation, from Alexandria via LeMat-Bulk.

## Properties
DFT total energy in eV/atom: -3.79
Density of states at the Fermi level in states/eV/atom: 0.657
Formation energy in eV per atom: 0.35

Cell: 2.6739 4.6774 5.1680 Å, 90.00 92.51 90.00°
Element x y z (fractional)
Li (0.1925, 0.0000, 0.2166)
Li (0.8075, 0.0000, 0.7834)
Re (0.5000, 0.5000, 0.0000)
Hg (0.0000, 0.5000, 0.5000)

---

No. 22
The following is a PBE calculation of LiRe2Hg after structural relaxation, from Alexandria via LeMat-Bulk.

## Properties
DFT total energy in eV/atom: -6.30
Density of states at the Fermi level in states/eV/atom: 0.704
Formation energy in eV per atom: 0.48

Cell: 5.4393 5.4393 5.4393 Å, 146.41 134.59 57.65°
Element x y z (fractional)
Li (0.0000, 0.0000, 0.0000)
Re (0.2477, 0.7477, 0.5000)
Re (0.7523, 0.2523, 0.5000)
Hg (0.5000, 0.5000, 0.0000)

---

No. 23
The following is a PBE calculation of LiReHg2 after structural relaxation, from Alexandria via LeMat-Bulk.

## Properties
DFT total energy in eV/atom: -3.27
Density of states at the Fermi level in states/eV/atom: 0.593
Formation energy in eV per atom: 0.47

Cell: 2.7841 2.7841 9.5056 Å, 90.00 90.00 90.00°
Element x y z (fractional)
Li (0.0000, 0.0000, 0.0000)
Re (0.5000, 0.5000, 0.2165)
Hg (0.0000, 0.0000, 0.4641)
Hg (0.5000, 0.5000, 0.7675)

---

No. 24
The following is a PBE calculation of LiRe2Hg after structural relaxation, from Alexandria via LeMat-Bulk.

## Properties
DFT total energy in eV/atom: -6.02
Density of states at the Fermi level in states/eV/atom: 1.465
Formation energy in eV per atom: 0.76

Cell: 9.7934 9.7934 9.7934 Å, 16.39 16.39 16.39°
Element x y z (fractional)
Li (0.0000, 0.0000, 0.0000)
Re (0.2525, 0.2525, 0.2525)
Re (0.7475, 0.7475, 0.7475)
Hg (0.5000, 0.5000, 0.5000)

---

No. 25
The following is a PBE calculation of LiReHg2 after structural relaxation, from Alexandria via LeMat-Bulk.

## Properties
DFT total energy in eV/atom: -3.18
Density of states at the Fermi level in states/eV/atom: 0.893
Formation energy in eV per atom: 0.56

Cell: 4.8688 4.8688 5.7070 Å, 96.34 96.34 32.99°
Element x y z (fractional)
Li (0.0000, 0.0000, 0.0000)
Re (0.5000, 0.5000, 0.5000)
Hg (0.2485, 0.2485, 0.7500)
Hg (0.7515, 0.7515, 0.2500)

---

No. 26
The following is a PBE calculation of Li2ReHg after structural relaxation, from Alexandria via LeMat-Bulk.

## Properties
DFT total energy in eV/atom: -3.80
Density of states at the Fermi level in states/eV/atom: 0.614
Formation energy in eV per atom: 0.35

Cell: 2.7305 2.7305 9.4800 Å, 90.00 90.00 105.23°
Element x y z (fractional)
Li (0.0000, 0.0000, 0.0000)
Li (0.5000, 0.5000, 0.2748)
Re (0.5000, 0.5000, 0.7740)
Hg (0.0000, 0.0000, 0.5086)

---

No. 27
The following is a PBE calculation of LiRe2Hg after structural relaxation, from Alexandria via LeMat-Bulk.

## Properties
DFT total energy in eV/atom: -6.31
Density of states at the Fermi level in states/eV/atom: 0.751
Formation energy in eV per atom: 0.46

Cell: 5.1687 5.1687 4.2933 Å, 101.47 101.47 34.54°
Element x y z (fractional)
Li (0.0000, 0.0000, 0.0000)
Re (0.2475, 0.2475, 0.7636)
Re (0.7525, 0.7525, 0.2364)
Hg (0.5000, 0.5000, 0.5000)

---

No. 28
The following is a PBE calculation of LiRe2Hg after structural relaxation, from Alexandria via LeMat-Bulk.

## Properties
DFT total energy in eV/atom: -6.04
Density of states at the Fermi level in states/eV/atom: 0.808
Formation energy in eV per atom: 0.74

Cell: 2.6963 2.6963 9.6061 Å, 90.00 90.00 111.01°
Element x y z (fractional)
Li (0.0000, 0.0000, 0.0000)
Re (0.5000, 0.5000, 0.2393)
Re (0.5000, 0.5000, 0.7607)
Hg (0.0000, 0.0000, 0.5000)